A geometry-optimized La4TbY5 structure, computed with PBE-GGA.

Summary:
Density of states at the Fermi level ... 27.37 states/eV per cell
ΔE_f ... 218 meV/atom
Volume ... 705.2 Å³ per cell
Energy above the most stable polymorph in this dataset ... 0.97 kcal/mol of atoms
Theoretical density ... 5.46 Mg/m³

a = 18.2995 Å, b = 3.6103 Å, c = 10.9112 Å
α = 90.00°, β = 101.99°, γ = 90.00°
Closest atoms and distances in Å follow each position.
Space group C2/m (No. 12)
Inequivalent atoms, fractional coordinates:
La 0.0221 0.0000 0.2630 x4  4 Y 3.25-3.52, 2 Tb 3.34, 4 La 3.45-3.61
La 0.1769 0.5000 0.2263 x4  4 La 3.45-3.61, 6 Y 3.46-3.83, 1 Tb 3.64
Tb 0.0000 0.5000 0.0000 x2  6 La 3.34-3.64, 2 Tb 3.61
Y 0.0000 0.5000 0.5000 x2  4 La 3.25, 6 Y 3.52-3.61
Y 0.1621 0.0000 0.9130 x4  4 La 3.52-3.83, 4 Y 3.61-3.83, 2 Tb 3.76
Y 0.1678 0.0000 0.5303 x4  4 La 3.46-3.81, 6 Y 3.52-3.69